No. 1
Computed, not measured: an optimized crystal structure of LaNd3DyHo at the GGA-PBE level of DFT.

The calculation puts the density of states at the Fermi level at 17.6 states/eV per cell. Its formation energy is 184 meV per atom.

Lattice parameters (Å, degrees): 5.8389 10.7460 6.8667 91.25 90.00 105.76
Closest atoms and distances in Å follow each position.
Fractional coordinates of all 12 atoms:
Dy 0.9425 0.8851 0.7308  3 Nd 3.31-3.36, 2 Ho 3.68
Dy 0.0575 0.1149 0.2692  3 Nd 3.31-3.36, 2 Ho 3.68
Nd 0.5183 0.0367 0.7473  1 Ho 3.21, 1 La 3.22, 2 Dy 3.31, 2 Nd 3.46-3.57
Nd 0.1592 0.3183 0.7442  2 Ho 3.47, 2 La 3.51, 4 Nd 3.54-3.85, 1 Dy 3.84
Nd 0.8408 0.6817 0.2558  2 Ho 3.47, 2 La 3.51, 4 Nd 3.54-3.85, 1 Dy 3.84
Nd 0.4817 0.9633 0.2527  1 Ho 3.21, 1 La 3.22, 2 Dy 3.31, 2 Nd 3.46-3.57
Nd 0.2198 0.4395 0.2655  3 Ho 3.32-3.64, 1 Dy 3.36, 3 La 3.45-3.67, 1 Nd 3.54
Nd 0.7802 0.5605 0.7345  3 Ho 3.32-3.64, 1 Dy 3.36, 3 La 3.45-3.67, 1 Nd 3.54
Ho 0.3574 0.7149 0.5249  1 La 3.10, 4 Nd 3.21-3.47
Ho 0.6426 0.2851 0.4751  1 La 3.10, 4 Nd 3.21-3.47
La 0.6461 0.2923 0.0241  1 Ho 3.10, 2 Nd 3.22-3.45
La 0.3539 0.7077 0.9759  1 Ho 3.10, 2 Nd 3.22-3.45

No. 2
Computed, not measured: an optimized crystal structure of LaDyHo2P4 at the GGA-PBE level of DFT.

The calculation puts the density of states at the Fermi level at 1.2 states/eV per cell. Its formation energy is -1572 meV per atom.

Lattice parameters (Å, degrees): 5.7565 5.7565 7.0446 114.12 114.12 90.00
Closest atoms and distances in Å follow each position.
Fractional coordinates of all 8 atoms:
Dy 0.4372 0.4372 0.0000  6 P 2.81-2.88
P 0.4373 0.9372 0.0000  2 Ho 2.87, 2 Dy 2.88, 2 La 2.88
P 0.9372 0.4373 0.0000  2 Ho 2.87, 2 Dy 2.88, 2 La 2.88
P 0.6817 0.6817 0.4893  1 Dy 2.81, 4 Ho 2.88, 1 La 2.94
P 0.1924 0.1924 0.5107  1 Dy 2.81, 4 Ho 2.88, 1 La 2.94
La 0.9373 0.9373 0.0000  6 P 2.88-2.94
Ho 0.6871 0.1871 0.5000  6 P 2.87-2.88
Ho 0.1871 0.6871 0.5000  6 P 2.87-2.88

No. 3
Computed, not measured: an optimized crystal structure of LaDy2HoP4 at the GGA-PBE level of DFT.

The calculation puts the density of states at the Fermi level at 1.2 states/eV per cell. Its formation energy is -1575 meV per atom.

Lattice parameters (Å, degrees): 5.7637 5.7637 7.0522 114.12 114.12 90.00
Closest atoms and distances in Å follow each position.
Fractional coordinates of all 8 atoms:
Dy 0.1871 0.6871 0.5000  6 P 2.88
Dy 0.6871 0.1871 0.5000  6 P 2.88
P 0.1930 0.1930 0.5118  1 Ho 2.81, 4 Dy 2.88, 1 La 2.95
P 0.9372 0.4373 0.0000  2 Dy 2.88, 2 Ho 2.88, 2 La 2.88
P 0.6811 0.6811 0.4882  1 Ho 2.81, 4 Dy 2.88, 1 La 2.95
P 0.4373 0.9372 0.0000  2 Dy 2.88, 2 Ho 2.88, 2 La 2.88
Ho 0.4372 0.4372 0.0000  6 P 2.81-2.88
La 0.9373 0.9373 0.0000  6 P 2.88-2.95

No. 4
Computed, not measured: an optimized crystal structure of La2DyHoP4 at the GGA-PBE level of DFT.

The calculation puts the density of states at the Fermi level at 0.7 states/eV per cell. Its formation energy is -1580 meV per atom.

Lattice parameters (Å, degrees): 4.1385 7.1639 7.1625 109.46 90.00 90.00
Closest atoms and distances in Å follow each position.
Fractional coordinates of all 8 atoms:
La 0.5000 0.0000 0.5000  6 P 2.98-2.99
La 0.0000 0.5000 0.5000  6 P 2.98
P 0.5000 0.7542 0.7643  1 Ho 2.87, 2 Dy 2.87, 3 La 2.98
P 0.5000 0.2458 0.2357  1 Ho 2.87, 2 Dy 2.87, 3 La 2.98
P 0.0000 0.7446 0.2354  2 Ho 2.87, 1 Dy 2.87, 3 La 2.98-2.99
P 0.0000 0.2554 0.7646  2 Ho 2.87, 1 Dy 2.87, 3 La 2.98-2.99
Ho 0.5000 0.5000 0.0000  6 P 2.87
Dy 0.0000 0.0000 0.0000  6 P 2.87

Repeat the first record exactly.
Computed, not measured: an optimized crystal structure of LaNd3DyHo at the GGA-PBE level of DFT.

The calculation puts the density of states at the Fermi level at 17.6 states/eV per cell. Its formation energy is 184 meV per atom.

Lattice parameters (Å, degrees): 5.8389 10.7460 6.8667 91.25 90.00 105.76
Closest atoms and distances in Å follow each position.
Fractional coordinates of all 12 atoms:
Dy 0.9425 0.8851 0.7308  3 Nd 3.31-3.36, 2 Ho 3.68
Dy 0.0575 0.1149 0.2692  3 Nd 3.31-3.36, 2 Ho 3.68
Nd 0.5183 0.0367 0.7473  1 Ho 3.21, 1 La 3.22, 2 Dy 3.31, 2 Nd 3.46-3.57
Nd 0.1592 0.3183 0.7442  2 Ho 3.47, 2 La 3.51, 4 Nd 3.54-3.85, 1 Dy 3.84
Nd 0.8408 0.6817 0.2558  2 Ho 3.47, 2 La 3.51, 4 Nd 3.54-3.85, 1 Dy 3.84
Nd 0.4817 0.9633 0.2527  1 Ho 3.21, 1 La 3.22, 2 Dy 3.31, 2 Nd 3.46-3.57
Nd 0.2198 0.4395 0.2655  3 Ho 3.32-3.64, 1 Dy 3.36, 3 La 3.45-3.67, 1 Nd 3.54
Nd 0.7802 0.5605 0.7345  3 Ho 3.32-3.64, 1 Dy 3.36, 3 La 3.45-3.67, 1 Nd 3.54
Ho 0.3574 0.7149 0.5249  1 La 3.10, 4 Nd 3.21-3.47
Ho 0.6426 0.2851 0.4751  1 La 3.10, 4 Nd 3.21-3.47
La 0.6461 0.2923 0.0241  1 Ho 3.10, 2 Nd 3.22-3.45
La 0.3539 0.7077 0.9759  1 Ho 3.10, 2 Nd 3.22-3.45